1.
A plane-wave DFT calculation with SCAN was carried out for DyMgSe3 at its PBEsol-relaxed geometry.

Properties
Crystal system   monoclinic
Total energy   -23.91 eV/atom
Total magnetic moment   0.00 μB per cell
Raw formation energy   -1.31 eV/atom

a = 8.1549 Å, b = 11.8426 Å, c = 6.1243 Å
α = 90.00°, β = 119.69°, γ = 90.00°
Space group C2/m (No. 12)
One atom of each set of equivalent atoms:
Dy 0.2296 0.0000 0.1784 [4 per cell]
Mg 0.0000 0.3267 0.0000 [4 per cell]
Se 0.0216 0.1533 0.7583 [8 per cell]
Se 0.1079 0.5000 0.3070 [4 per cell]

---

2.
A plane-wave DFT calculation with SCAN was carried out for Dy2MgSi2 at its PBEsol-relaxed geometry.

Properties
Crystal system   tetragonal
Total energy   -24.87 eV/atom
Total magnetic moment   0.00 μB per cell
Raw formation energy   -0.75 eV/atom

a = 7.1104 Å, b = 7.1104 Å, c = 4.1457 Å
α = 90.00°, β = 90.00°, γ = 90.00°
Space group P4/mbm (No. 127)
One atom of each set of equivalent atoms:
Dy 0.1781 0.3219 0.0000 [4 per cell]
Mg 0.0000 0.0000 0.5000 [2 per cell]
Si 0.1183 0.6183 0.5000 [4 per cell]